Entry 1:
12
Lattice="4.0897 0.0000 0.0000 0.0000 8.0682 0.6307 0.0000 -1.4580 10.1085" Properties=species:S:1:pos:R:3 comment="Pm3IrSCl | Alexandria | PBE | relaxed" dos_at_fermi_per_ev_atom=0.638 spacegroup=P2_1/m raw_formation_energy_ev_per_atom=-1.279 pbc="T T T"
Cl 1.0224 0.0344 6.1750
Cl 3.0673 6.5758 4.5641
Ir 1.0224 4.4458 1.4714
Ir 3.0673 2.1644 9.2678
Pm 1.0224 4.0794 8.6876
Pm 3.0673 1.8945 6.3811
Pm 1.0224 0.1180 9.1030
Pm 3.0673 6.4922 1.6362
Pm 3.0673 2.5307 2.0515
Pm 1.0224 4.7157 4.3580
S 3.0673 6.1294 9.1396
S 1.0224 0.4808 1.5996

***

Entry 2:
8
Lattice="-1.9711 -3.4338 0.5366 3.2240 -0.8533 6.3831 -4.0472 3.1082 5.0237" Properties=species:S:1:pos:R:3 comment="Pm4IrS2Cl | Alexandria | PBE | relaxed" dos_at_fermi_per_ev_atom=0.624 spacegroup=P2/m raw_formation_energy_ev_per_atom=-1.534 pbc="T T T"
S -3.0091 -0.1628 2.7801
S -4.0472 3.1082 5.0237
Pm -3.3347 0.4702 5.6352
Pm -2.0932 -2.9256 3.3406
Pm 0.5405 -1.6491 6.3082
Pm -0.7011 1.7466 8.6028
Ir 0.6265 -2.1436 3.4598
Cl -0.4116 1.1274 5.7034

***

Entry 3:
16
Lattice="8.2883 0.0000 0.0000 0.0000 8.7504 0.3195 -4.1441 -4.1418 5.8603" Properties=species:S:1:pos:R:3 comment="Pm8Ir3SCl4 | Alexandria | PBE | relaxed" dos_at_fermi_per_ev_atom=0.551 spacegroup=C2/m raw_formation_energy_ev_per_atom=-1.303 pbc="T T T"
Ir 4.1441 4.3752 0.1597
Ir -2.0721 2.3043 3.0899
Ir 2.0721 2.3043 3.0899
Pm 0.0000 4.1797 3.0655
Pm 6.1353 2.4189 0.2986
Pm 4.1441 4.2109 2.9733
Pm 4.1441 0.4288 3.1143
Pm 2.1530 2.4189 0.2986
Pm -1.9911 2.1896 5.8812
Pm 0.0000 0.3977 3.2065
Pm 1.9911 2.1896 5.8812
Cl -2.0721 -2.0709 2.9301
Cl 4.1441 0.0000 0.0000
Cl 0.0000 0.0000 0.0000
Cl 2.0721 -2.0709 2.9301
S 0.0000 4.3752 0.1597

***

Entry 4:
8
Lattice="4.0027 0.0000 0.0000 0.0000 7.4762 -0.2643 0.0000 2.5184 6.8629" Properties=species:S:1:pos:R:3 comment="Pm4IrSCl2 | Alexandria | PBE | relaxed" dos_at_fermi_per_ev_atom=0.536 spacegroup=P2/m raw_formation_energy_ev_per_atom=-1.428 pbc="T T T"
Cl 2.0014 1.2592 3.4314
Cl 0.0000 2.5184 6.8629
Ir 2.0014 3.7381 -0.1322
S 0.0000 4.9973 3.2993
Pm 2.0014 4.0008 4.9929
Pm 4.0027 2.7046 1.4590
Pm 2.0014 5.9938 1.6056
Pm 0.0001 7.2900 5.1395

***

Entry 5:
12
Lattice="-1.7727 2.6796 -2.3944 -7.4883 -1.8186 3.5090 4.2783 5.4020 6.2309" Properties=species:S:1:pos:R:3 comment="Pm6Ir2S3Cl | Alexandria | PBE | relaxed" dos_at_fermi_per_ev_atom=0.484 spacegroup=C2/m raw_formation_energy_ev_per_atom=-1.463 pbc="T T T"
Pm -0.5032 3.5199 0.9589
Pm -4.4796 2.7432 6.3866
Pm -2.0064 -0.3942 1.0443
Pm -4.1135 2.5407 2.5361
Pm -2.9764 6.6573 6.3012
Pm -0.8693 3.7224 4.8095
S -4.6305 0.4305 0.5573
S 0.2559 5.6667 2.7995
S -5.2387 0.5964 4.5461
Ir -1.3903 1.6551 2.8816
Ir -3.5925 4.6080 4.4639
Cl -0.8864 1.3398 -1.1972

***

Entry 6:
8
Lattice="-3.3173 -2.3431 0.3294 2.7146 -4.5673 -5.1495 4.1045 -5.3308 3.4177" Properties=species:S:1:pos:R:3 comment="Pm4IrSeCl2 | Alexandria | PBE | relaxed" dos_at_fermi_per_ev_atom=0.593 spacegroup=P2/m raw_formation_energy_ev_per_atom=-1.380 pbc="T T T"
Pm 5.0128 -7.2653 -1.1959
Pm 1.4419 -5.9422 -2.5449
Pm -1.5109 -4.9759 -0.2065
Pm 2.0600 -6.2989 1.1425
Ir 3.4096 -4.9490 -0.8658
Se -0.3013 -3.4552 -2.4101
Cl 0.3936 -3.8369 1.8735
Cl 4.1045 -5.3308 3.4177

***

Entry 7:
16
Lattice="-6.0618 3.1103 4.9544 -5.6273 -0.9964 -6.2596 4.5944 -6.5708 2.5845" Properties=species:S:1:pos:R:3 comment="Pm8Si3IrCl4 | Alexandria | PBE | relaxed" dos_at_fermi_per_ev_atom=0.639 spacegroup=R-3m raw_formation_energy_ev_per_atom=-1.151 pbc="T T T"
Pm -0.7293 -2.8555 0.9003
Pm -6.3655 -1.6014 0.3789
Pm -3.3085 -3.0802 -2.1143
Pm -3.0349 0.3947 -0.4666
Pm -4.0599 -4.8516 1.7459
Pm -3.7863 -1.3767 3.3936
Pm -6.1390 1.9874 2.0704
Pm -0.9558 -6.4443 -0.7912
Ir -2.8137 -0.4982 -3.1298
Si -5.8446 1.0570 -0.6526
Si -0.5165 -3.7836 -1.8376
Si -3.5474 -2.2285 0.6396
Cl -3.0309 1.5551 2.4772
Cl -0.7337 -1.7303 3.7694
Cl 0.0000 0.0000 0.0000
Cl 2.2972 -3.2854 1.2922

***

Entry 8:
12
Lattice="4.1438 0.0000 0.0000 0.0000 8.6214 0.3280 -2.0719 -2.4615 8.8895" Properties=species:S:1:pos:R:3 comment="Pm6Si2IrCl3 | Alexandria | PBE | relaxed" dos_at_fermi_per_ev_atom=0.641 spacegroup=C2/m raw_formation_energy_ev_per_atom=-1.152 pbc="T T T"
Pm 2.0719 0.0993 2.7990
Pm 2.0719 4.0921 3.2677
Pm 0.0000 2.0679 5.9497
Pm 2.0719 4.2252 9.0602
Pm 0.0000 6.0607 6.4184
Pm 0.0000 1.9348 0.1572
Cl 2.0719 -0.2106 5.8293
Cl 2.0719 4.3107 0.1640
Cl 0.0000 6.3706 3.3882
Ir 2.0719 0.0000 0.0000
Si 2.0719 4.0444 6.1649
Si 0.0000 2.1156 3.0525

***

Entry 9:
8
Lattice="-1.6154 -3.5190 -1.3731 -1.7112 -1.9528 7.0176 -6.8305 2.5609 1.4728" Properties=species:S:1:pos:R:3 comment="Pm4SiIrCl2 | Alexandria | PBE | relaxed" dos_at_fermi_per_ev_atom=0.793 spacegroup=P2/m raw_formation_energy_ev_per_atom=-1.137 pbc="T T T"
Si -4.2709 0.3041 4.2452
Cl -6.8305 2.5609 1.4728
Cl -4.2229 -0.4790 0.0498
Pm -3.7403 -2.5137 4.6963
Pm -3.6716 -3.5007 0.9990
Pm -6.4168 -0.3972 2.4210
Pm -6.4855 0.5898 6.1183
Ir -1.6633 -2.7359 2.8223

***

Entry 10:
16
Lattice="8.3136 0.0000 0.0000 0.0000 8.7819 0.3250 -4.1568 -4.1546 5.8779" Properties=species:S:1:pos:R:3 comment="Pm8SiIr3Cl4 | Alexandria | PBE | relaxed" dos_at_fermi_per_ev_atom=0.702 spacegroup=C2/m raw_formation_energy_ev_per_atom=-1.149 pbc="T T T"
Si 0.0000 4.3910 0.1625
Cl -2.0784 -2.0773 2.9390
Cl 2.0784 -2.0773 2.9390
Cl 0.0000 0.0000 0.0000
Cl 4.1568 0.0000 0.0000
Ir 2.0784 2.3136 3.1014
Ir -2.0784 2.3136 3.1014
Ir 4.1568 4.3910 0.1625
Pm 0.0000 0.3746 3.1990
Pm 4.1568 0.4237 3.1374
Pm 4.1568 4.2526 3.0039
Pm -2.0101 2.1943 5.9080
Pm 2.1467 2.4329 0.2949
Pm 0.0000 4.2036 3.0655
Pm 6.1669 2.4329 0.2949
Pm 2.0101 2.1943 5.9080

***

Entry 11:
12
Lattice="4.2165 0.0000 0.0000 0.0000 8.9110 0.7615 0.0000 -1.5981 9.8901" Properties=species:S:1:pos:R:3 comment="Pm3TeIrCl | Alexandria | PBE | relaxed" dos_at_fermi_per_ev_atom=0.575 spacegroup=P2_1/m raw_formation_energy_ev_per_atom=-1.134 pbc="T T T"
Cl 1.0541 0.2781 5.7614
Cl 3.1623 7.0348 4.8902
Ir 1.0541 5.3155 1.8928
Ir 3.1623 1.9974 8.7588
Pm 3.1623 7.2931 1.9860
Pm 1.0541 0.0198 8.6657
Pm 3.1623 3.3310 1.7543
Pm 3.1623 2.0540 6.0482
Pm 1.0541 5.2589 4.6034
Pm 1.0541 3.9819 8.8973
Te 1.0541 0.7875 1.8653
Te 3.1623 6.5254 8.7863

***

Entry 12:
8
Lattice="-3.7013 -0.0480 -1.8470 3.1457 -2.4591 -6.2401 0.1416 -7.9474 -0.0775" Properties=species:S:1:pos:R:3 comment="Pm4TeIrCl2 | Alexandria | PBE | relaxed" dos_at_fermi_per_ev_atom=0.668 spacegroup=P2/m raw_formation_energy_ev_per_atom=-1.268 pbc="T T T"
Pm -2.8511 -3.0013 -3.4741
Pm 2.4371 -7.4532 -4.6905
Pm -0.8514 -6.3922 -2.7606
Pm 0.4374 -4.0623 -5.4040
Ir 1.6436 -5.2033 -3.1588
Te -0.2778 -1.2535 -4.0436
Cl 0.1416 -7.9474 -0.0775
Cl -1.7799 -3.9977 -0.9623